Record 1
First-principles (PBE) data for an optimized crystal structure of PSeN2F, as listed in the Alexandria database.

As for the total DFT energy (no corrections): -4.742 eV/atom. The formation energy from raw total energies comes out at 0.741 eV per atom.

The space group is P4/mmm (No. 123) and the conventional cell measures 3.696, 3.696 and 3.724 Å, with angles of 90.00, 90.00 and 90.00 degrees. The distinct sites, in fractional coordinates, are P at (0.000, 0.000, 0.000), Se at (0.500, 0.500, 0.500), N at (0.000, 0.500, 0.000) and F at (0.000, 0.000, 0.500).



Record 2
First-principles (PBE) data for an optimized crystal structure of TbNdCS, as listed in the Alexandria database.

As for the total DFT energy (no corrections): -6.859 eV/atom. The formation energy from raw total energies comes out at -1.172 eV per atom.

The space group is R3m (No. 160, hexagonal axes) and the conventional cell measures 3.8148, 3.8148 and 19.5550 Å, with angles of 90.00, 90.00 and 120.00 degrees. The distinct sites, in fractional coordinates, are Tb at (0.0000, 0.0000, 0.0000), Nd at (0.0000, 0.0000, 0.5237), C at (0.0000, 0.0000, 0.2631) and S at (0.0000, 0.0000, 0.7572).



Record 3
First-principles (PBE) data for an optimized crystal structure of Sn3PdSe, as listed in the Alexandria database.

As for the total DFT energy (no corrections): -3.514 eV/atom. The formation energy from raw total energies comes out at 0.623 eV per atom.

The space group is Pm-3m (No. 221) and the conventional cell measures 5.463, 5.463 and 5.463 Å, with angles of 90.00, 90.00 and 90.00 degrees. The distinct sites, in fractional coordinates, are Sn at (0.000, 0.000, 0.500), Pd at (0.500, 0.500, 0.500) and Se at (0.000, 0.000, 0.000).



Record 4
First-principles (PBE) data for an optimized crystal structure of Ba6Na5Ir, as listed in the Alexandria database.

As for the formation energy: -45 meV per atom. As for the total DFT energy (no corrections): -2.294 eV/atom.

The space group is C2/m (No. 12) and the conventional cell measures 10.743, 14.305 and 7.984 Å, with angles of 90.00, 101.41 and 90.00 degrees. The distinct sites, in fractional coordinates, are Ba at (0.165, 0.000, 0.218), Ba at (0.178, 0.149, 0.689), Na at (0.000, 0.263, 0.000), Na at (0.000, 0.385, 0.500), Na at (0.000, 0.500, 0.000) and Ir at (0.000, 0.000, 0.500).



Record 5
First-principles (PBE) data for an optimized crystal structure of NdAg2Sb2, as listed in the Alexandria database.

As for the total DFT energy (no corrections): -4.260 eV/atom. The formation energy from raw total energies comes out at -0.517 eV per atom.

The space group is Cmcm (No. 63) and the conventional cell measures 4.442, 24.846 and 4.415 Å, with angles of 90.00, 90.00 and 90.00 degrees. The distinct sites, in fractional coordinates, are Nd at (0.000, 0.150, 0.250), Ag at (0.000, 0.039, 0.750), Ag at (0.000, 0.462, 0.750), Sb at (0.000, 0.250, 0.750) and Sb at (0.000, 0.387, 0.250).



Record 6
First-principles (PBE) data for an optimized crystal structure of SrLu2Pb, as listed in the Alexandria database.

As for the formation energy: -95 meV per atom. As for the total DFT energy (no corrections): -3.703 eV/atom.

The space group is P4/mmm (No. 123) and the conventional cell measures 4.976, 4.976 and 4.990 Å, with angles of 90.00, 90.00 and 90.00 degrees. The distinct sites, in fractional coordinates, are Sr at (0.000, 0.000, 0.000), Lu at (0.000, 0.500, 0.500) and Pb at (0.500, 0.500, 0.000).